Entry 1:
First-principles (PBE-GGA) data for NbAgPO2 after structural relaxation, as listed in Alexandria.

Cell lengths 3.883, 3.883, 5.472 Å; angles 90.00, 90.00, 90.00 degrees
Positions (direct):
Nb 0.000 0.000 0.000
Ag 0.500 0.500 0.500
P 0.000 0.000 0.500
O 0.000 0.500 0.000
O 0.500 0.000 0.000

Properties
* SG: P4/mmm (123)
* ΔE to the lowest computed polymorph: 0 meV per atom
* formation energy without anion corrections: -1117 meV per atom

***

Entry 2:
First-principles (PBE-GGA) data for NbAgPO2 after structural relaxation, as listed in Alexandria.

Cell lengths 3.966, 3.966, 4.830 Å; angles 90.00, 90.00, 90.00 degrees
Positions (direct):
Nb 0.000 0.000 0.000
Ag 0.500 0.500 0.500
P 0.500 0.500 0.000
O 0.000 0.500 0.500
O 0.500 0.000 0.500

Properties
* SG: P4/mmm (123)
* ΔE to the lowest computed polymorph: 1646 meV per atom
* formation energy without anion corrections: 529 meV per atom

***

Entry 3:
First-principles (PBE-GGA) data for NbAgP2O8 after structural relaxation, as listed in Alexandria.

Cell lengths 5.190, 5.190, 8.671 Å; angles 100.17, 100.17, 61.75 degrees
Positions (direct):
Nb 0.000 0.000 0.000
Ag 0.000 0.000 0.500
P 0.304 0.304 0.799
P 0.696 0.696 0.201
O 0.174 0.643 0.846
O 0.185 0.185 0.909
O 0.231 0.231 0.627
O 0.357 0.826 0.154
O 0.643 0.174 0.846
O 0.769 0.769 0.373
O 0.815 0.815 0.091
O 0.826 0.357 0.154

Properties
* SG: C2/m (12)
* formation energy without anion corrections: -2064 meV per atom

***

Entry 4:
First-principles (PBE-GGA) data for Pa2NbAgO8 after structural relaxation, as listed in Alexandria.

Cell lengths 6.696, 6.696, 6.696 Å; angles 131.99, 131.99, 70.25 degrees
Positions (direct):
Pa 0.000 0.000 0.000
Pa 0.750 0.250 0.500
Nb 0.250 0.750 0.500
Ag 0.500 0.500 0.000
O 0.073 0.178 0.465
O 0.118 0.654 0.085
O 0.346 0.431 0.464
O 0.392 0.927 0.105
O 0.569 0.033 0.915
O 0.713 0.608 0.535
O 0.822 0.287 0.895
O 0.967 0.882 0.536

Properties
* SG: I-4 (82)
* formation energy without anion corrections: -2802 meV per atom

***

Entry 5:
First-principles (PBE-GGA) data for NbAgPbO4 after structural relaxation, as listed in Alexandria.

Cell lengths 5.870, 6.181, 7.507 Å; angles 90.00, 108.88, 90.00 degrees
Positions (direct):
Nb 0.030 0.250 0.337
Nb 0.970 0.750 0.663
Ag 0.412 0.750 0.440
Ag 0.588 0.250 0.560
Pb 0.201 0.250 0.909
Pb 0.799 0.750 0.091
O 0.101 0.003 0.211
O 0.101 0.497 0.211
O 0.218 0.250 0.596
O 0.295 0.750 0.700
O 0.705 0.250 0.300
O 0.782 0.750 0.404
O 0.899 0.503 0.789
O 0.899 0.997 0.789

Properties
* SG: P2_1/m (11)
* formation energy without anion corrections: -1579 meV per atom

***

Entry 6:
First-principles (PBE-GGA) data for NbAgPdO4 after structural relaxation, as listed in Alexandria.

Cell lengths 6.994, 6.994, 6.994 Å; angles 131.02, 128.05, 74.17 degrees
Positions (direct):
Nb 0.000 0.000 0.000
Nb 0.500 0.000 0.500
Ag 0.421 0.671 0.750
Ag 0.579 0.329 0.250
Pd 0.000 0.000 0.500
Pd 0.000 0.500 0.000
O 0.148 0.185 0.963
O 0.269 0.243 0.474
O 0.269 0.795 0.026
O 0.277 0.815 0.463
O 0.723 0.185 0.537
O 0.731 0.205 0.974
O 0.731 0.757 0.526
O 0.852 0.815 0.037

Properties
* SG: Imma (74)
* formation energy without anion corrections: -1259 meV per atom

***

Entry 7:
First-principles (PBE-GGA) data for PmNbAgO5 after structural relaxation, as listed in Alexandria.

Cell lengths 6.307, 6.307, 8.428 Å; angles 102.31, 102.31, 114.48 degrees
Positions (direct):
Pm 0.000 0.500 0.000
Pm 0.500 0.000 0.500
Nb 0.043 0.957 0.750
Nb 0.957 0.043 0.250
Ag 0.456 0.544 0.750
Ag 0.544 0.456 0.250
O 0.141 0.851 0.572
O 0.149 0.859 0.928
O 0.183 0.312 0.835
O 0.312 0.183 0.335
O 0.341 0.659 0.250
O 0.659 0.341 0.750
O 0.688 0.817 0.665
O 0.817 0.688 0.165
O 0.851 0.141 0.072
O 0.859 0.149 0.428

Properties
* SG: C2/c (15)
* formation energy without anion corrections: -2113 meV per atom

***

Entry 8:
First-principles (PBE-GGA) data for Pm2NbAgO6 after structural relaxation, as listed in Alexandria.

Cell lengths 5.339, 5.339, 5.485 Å; angles 90.00, 90.00, 90.00 degrees
Positions (direct):
Pm 0.000 0.500 0.000
Pm 0.500 0.000 0.000
Nb 0.000 0.000 0.605
Ag 0.500 0.500 0.496
O 0.000 0.000 0.249
O 0.235 0.235 0.753
O 0.235 0.765 0.753
O 0.500 0.500 0.114
O 0.765 0.235 0.753
O 0.765 0.765 0.753

Properties
* SG: P4mm (99)
* formation energy without anion corrections: -2444 meV per atom

***

Entry 9:
First-principles (PBE-GGA) data for Pr2NbAgO6 after structural relaxation, as listed in Alexandria.

Cell lengths 5.407, 5.407, 5.474 Å; angles 90.00, 90.00, 90.00 degrees
Positions (direct):
Pr 0.000 0.500 0.000
Pr 0.500 0.000 0.000
Nb 0.000 0.000 0.600
Ag 0.500 0.500 0.496
O 0.000 0.000 0.244
O 0.234 0.234 0.745
O 0.234 0.766 0.745
O 0.500 0.500 0.111
O 0.766 0.234 0.745
O 0.766 0.766 0.745

Properties
* SG: P4mm (99)
* formation energy without anion corrections: -2431 meV per atom

***

Entry 10:
First-principles (PBE-GGA) data for RbNbAgO4 after structural relaxation, as listed in Alexandria.

Cell lengths 6.245, 6.449, 7.446 Å; angles 90.00, 106.80, 90.00 degrees
Positions (direct):
Rb 0.223 0.250 0.461
Rb 0.777 0.750 0.539
Nb 0.205 0.750 0.150
Nb 0.795 0.250 0.850
Ag 0.407 0.250 0.001
Ag 0.593 0.750 0.999
O 0.034 0.250 0.066
O 0.115 0.750 0.362
O 0.431 0.535 0.165
O 0.431 0.965 0.165
O 0.569 0.035 0.835
O 0.569 0.465 0.835
O 0.885 0.250 0.638
O 0.966 0.750 0.934

Properties
* SG: P2_1/m (11)
* formation energy without anion corrections: -1563 meV per atom

***

Entry 11:
First-principles (PBE-GGA) data for RbNb2Ag2O7 after structural relaxation, as listed in Alexandria.

Cell lengths 10.181, 10.181, 10.181 Å; angles 157.73, 35.01, 153.33 degrees
Positions (direct):
Rb 0.000 0.000 0.000
Nb 0.415 0.019 0.396
Nb 0.623 0.019 0.604
Ag 0.183 0.460 0.723
Ag 0.737 0.460 0.277
O 0.016 0.411 0.605
O 0.235 0.943 0.293
O 0.340 0.442 0.897
O 0.459 0.959 0.500
O 0.545 0.442 0.103
O 0.650 0.943 0.707
O 0.806 0.411 0.395

Properties
* SG: Imm2 (44)
* formation energy without anion corrections: -1680 meV per atom

***

Entry 12:
First-principles (PBE-GGA) data for RbNb2AgO6 after structural relaxation, as listed in Alexandria.

Cell lengths 8.037, 8.037, 6.702 Å; angles 103.98, 103.98, 98.97 degrees
Positions (direct):
Rb 0.104 0.896 0.750
Rb 0.896 0.104 0.250
Nb 0.277 0.424 0.822
Nb 0.424 0.277 0.322
Nb 0.576 0.723 0.678
Nb 0.723 0.576 0.178
Ag 0.216 0.784 0.250
Ag 0.784 0.216 0.750
O 0.083 0.244 0.713
O 0.194 0.617 0.916
O 0.244 0.083 0.213
O 0.359 0.423 0.562
O 0.383 0.806 0.584
O 0.423 0.359 0.062
O 0.577 0.641 0.938
O 0.617 0.194 0.416
O 0.641 0.577 0.438
O 0.756 0.917 0.787
O 0.806 0.383 0.084
O 0.917 0.756 0.287

Properties
* SG: C2/c (15)
* formation energy without anion corrections: -2063 meV per atom

***

Entry 13:
First-principles (PBE-GGA) data for Rb2Nb2AgO7 after structural relaxation, as listed in Alexandria.

Cell lengths 4.064, 4.064, 11.737 Å; angles 99.42, 99.42, 89.94 degrees
Positions (direct):
Rb 0.196 0.196 0.381
Rb 0.804 0.804 0.619
Nb 0.385 0.385 0.814
Nb 0.615 0.615 0.186
Ag 0.000 0.000 0.000
O 0.091 0.589 0.174
O 0.326 0.326 0.649
O 0.411 0.909 0.826
O 0.500 0.500 0.000
O 0.589 0.091 0.174
O 0.674 0.674 0.351
O 0.909 0.411 0.826

Properties
* SG: C2/m (12)
* formation energy without anion corrections: -1883 meV per atom

***

Entry 14:
First-principles (PBE-GGA) data for NbReAgO6 after structural relaxation, as listed in Alexandria.

Cell lengths 7.411, 7.411, 7.411 Å; angles 121.15, 118.88, 89.98 degrees
Positions (direct):
Nb 0.000 0.000 0.000
Nb 0.500 0.000 0.500
Re 0.500 0.000 0.000
Re 0.500 0.500 0.500
Ag 0.035 0.285 0.750
Ag 0.965 0.715 0.250
O 0.181 0.931 0.250
O 0.197 0.319 0.264
O 0.197 0.933 0.878
O 0.444 0.067 0.764
O 0.444 0.681 0.378
O 0.450 0.700 0.750
O 0.550 0.300 0.250
O 0.556 0.319 0.622
O 0.556 0.933 0.236
O 0.803 0.067 0.122
O 0.803 0.681 0.736
O 0.819 0.069 0.750

Properties
* SG: Imma (74)
* formation energy without anion corrections: -1558 meV per atom

***

Entry 15:
First-principles (PBE-GGA) data for NbAgRh2O after structural relaxation, as listed in Alexandria.

Cell lengths 4.657, 4.657, 5.264 Å; angles 90.00, 90.00, 90.00 degrees
Positions (direct):
Nb 0.000 0.000 0.000
Ag 0.000 0.000 0.500
Rh 0.000 0.500 0.000
Rh 0.500 0.000 0.000
O 0.500 0.500 0.500

Properties
* SG: P4/mmm (123)
* ΔE to the lowest computed polymorph: 1249 meV per atom
* formation energy without anion corrections: 1609 meV per atom

***

Entry 16:
First-principles (PBE-GGA) data for NbAgRh2O after structural relaxation, as listed in Alexandria.

Cell lengths 4.202, 4.202, 4.259 Å; angles 90.00, 90.00, 90.00 degrees
Positions (direct):
Nb 0.000 0.000 0.000
Ag 0.500 0.500 0.000
Rh 0.000 0.500 0.500
Rh 0.500 0.000 0.500
O 0.500 0.500 0.500

Properties
* SG: P4/mmm (123)
* ΔE to the lowest computed polymorph: 0 meV per atom
* formation energy without anion corrections: 360 meV per atom

***

Entry 17:
First-principles (PBE-GGA) data for NbAgRuO6 after structural relaxation, as listed in Alexandria.

Cell lengths 5.254, 5.254, 9.679 Å; angles 90.00, 90.00, 120.00 degrees
Positions (direct):
Nb 0.333 0.667 0.250
Nb 0.667 0.333 0.750
Ag 0.000 0.000 0.000
Ag 0.000 0.000 0.500
Ru 0.333 0.667 0.750
Ru 0.667 0.333 0.250
O 0.008 0.373 0.638
O 0.008 0.635 0.862
O 0.365 0.373 0.862
O 0.365 0.992 0.638
O 0.373 0.008 0.138
O 0.373 0.365 0.362
O 0.627 0.635 0.638
O 0.627 0.992 0.862
O 0.635 0.008 0.362
O 0.635 0.627 0.138
O 0.992 0.365 0.138
O 0.992 0.627 0.362

Properties
* SG: P-31c (163)
* formation energy without anion corrections: -1268 meV per atom

***

Entry 18:
First-principles (PBE-GGA) data for NbAgS2O8 after structural relaxation, as listed in Alexandria.

Cell lengths 5.298, 5.298, 7.103 Å; angles 90.00, 90.00, 120.00 degrees
Positions (direct):
Nb 0.000 0.000 0.000
Ag 0.000 0.000 0.500
S 0.333 0.667 0.736
S 0.667 0.333 0.264
O 0.180 0.360 0.810
O 0.180 0.820 0.810
O 0.333 0.667 0.533
O 0.360 0.180 0.190
O 0.640 0.820 0.810
O 0.667 0.333 0.467
O 0.820 0.180 0.190
O 0.820 0.640 0.190

Properties
* SG: P-3m1 (164)
* formation energy without anion corrections: -1257 meV per atom

***

Entry 19:
First-principles (PBE-GGA) data for Sc2NbAgO after structural relaxation, as listed in Alexandria.

Cell lengths 5.416, 5.416, 3.905 Å; angles 90.00, 90.00, 90.00 degrees
Positions (direct):
Sc 0.000 0.500 0.000
Sc 0.500 0.000 0.000
Nb 0.000 0.000 0.000
Ag 0.500 0.500 0.500
O 0.000 0.000 0.500

Properties
* SG: P4/mmm (123)
* formation energy without anion corrections: -36 meV per atom

***

Entry 20:
First-principles (PBE-GGA) data for NbAgSeO5 after structural relaxation, as listed in Alexandria.

Cell lengths 5.812, 5.812, 7.893 Å; angles 107.09, 107.09, 100.43 degrees
Positions (direct):
Nb 0.000 0.500 0.000
Nb 0.500 0.000 0.500
Ag 0.070 0.930 0.750
Ag 0.930 0.070 0.250
Se 0.447 0.553 0.750
Se 0.553 0.447 0.250
O 0.189 0.253 0.038
O 0.240 0.619 0.867
O 0.253 0.189 0.538
O 0.253 0.747 0.250
O 0.381 0.760 0.633
O 0.619 0.240 0.367
O 0.747 0.253 0.750
O 0.747 0.811 0.462
O 0.760 0.381 0.133
O 0.811 0.747 0.962

Properties
* SG: C2/c (15)
* formation energy without anion corrections: -1249 meV per atom